## Pm3NdGa (PBE)

Data for Pm3NdGa after structural relaxation.

Summary:
The crystal system is monoclinic. As for the offset from the most stable computed form: 135.8 meV per atom. Its total energy is -44.8 eV for the cell shown. The energy of formation is -0.067 eV/atom. For the volume, the calculation gives 33.4 A^3/atom.

Cell lengths 7.6093, 7.6093, 7.6124 Å; angles 105.29, 117.78, 105.65 degrees
Fractional positions:
Pm: 0.8458 0.0686 0.2944
Pm: 0.2257 0.4486 0.2944
Pm: 0.7743 0.5514 0.7056
Pm: 0.7103 0.4390 0.1493
Pm: 0.1542 0.9314 0.7056
Pm: 0.2897 0.5610 0.8507
Nd: 0.7197 0.0595 0.7792
Nd: 0.2803 0.9405 0.2208
Ga: 0.6259 0.7492 0.3751
Ga: 0.3741 0.2508 0.6249